First-principles (PBE with a Hubbard U) data for an optimized crystal structure of Rb3TlNi2F9, as listed in the Alexandria database.

Summary:
The total energy is -4.1520 eV/atom.

Cell: 6.0815 6.0815 7.5664 Å, 90.00 90.00 120.00°
Space group P-3m1 (No. 164)
Asymmetric unit:
Rb 0.0000 0.0000 0.0000
Rb 0.3333 0.6667 0.6767
Tl 0.0000 0.0000 0.5000
Ni 0.3333 0.6667 0.1494
F 0.0000 0.5000 0.0000
F 0.1798 0.3595 0.3086